Density functional theory data (PBE+U) for a relaxed structure of V4Bi6PbO20.

Structure (extended XYZ):
```
31
Lattice="-6.826 0.841 -2.309 0.324 -1.309 8.006 2.324 9.070 -1.265" Properties=species:S:1:pos:R:3 pbc="T T T"
O -1.553 5.261 3.179
Bi -1.644 8.483 -0.902
O -0.007 2.264 1.403
V -5.694 2.083 3.323
V -1.635 2.119 2.016
Bi -4.591 3.266 0.031
O 0.081 7.223 5.361
O -4.259 1.379 -0.928
O 0.232 6.796 -0.052
O -2.151 0.563 1.465
Pb 0.000 0.000 0.000
O -2.626 3.341 1.254
O -4.171 6.338 3.030
O -3.908 8.289 -1.695
O 0.784 2.939 5.778
Bi -1.108 4.824 -0.425
O -0.271 0.313 6.128
O -1.325 4.893 5.956
O -4.410 1.806 4.485
O -2.853 3.709 -1.524
Bi 0.413 5.336 4.402
V -2.543 6.483 2.416
V 1.516 6.519 1.110
O -5.166 1.727 1.695
O -2.486 6.337 0.666
Bi -3.071 3.778 4.858
O -2.027 8.040 2.967
O -1.692 2.265 3.766
O 0.988 6.876 2.738
O -4.962 5.663 -1.346
Bi -2.534 0.119 5.335
```

Computed properties:
Energy: -205.5 eV/cell
Total magnetic moment: 0.0000 μB per atom

=====

Density functional theory data (PBE+U) for a relaxed structure of V3BiPb3O12.

Structure (extended XYZ):
```
38
Lattice="9.537 -0.002 0.005 -3.186 8.989 0.005 3.173 4.490 7.766" Properties=species:S:1:pos:R:3 pbc="T T T"
O 3.818 8.994 6.603
O 8.274 10.514 6.278
V -0.734 7.324 1.018
O 0.139 2.372 0.572
O 2.978 8.358 3.278
O 3.776 3.168 4.455
O 7.754 5.417 5.248
V 3.952 7.288 6.796
O -0.858 9.070 1.193
V 8.735 3.998 4.901
O 0.931 6.873 1.365
O 3.818 7.941 0.529
O 8.515 3.383 3.293
O 5.562 9.065 2.395
O 5.658 6.863 6.649
O 7.797 8.495 4.412
V 3.907 8.984 1.906
O 10.423 4.464 5.075
O 8.470 7.842 7.161
Pb 7.421 3.762 1.279
O 0.903 8.821 5.330
Pb 6.293 6.732 3.882
O 5.617 4.357 2.720
O 6.427 1.551 1.447
V 3.964 3.914 2.914
O 7.796 6.441 2.127
Bi 1.644 6.722 3.877
O 1.933 11.401 7.176
Pb 8.997 12.723 6.518
Pb 5.832 10.424 7.765
O 2.994 5.380 2.766
O 3.065 6.409 5.550
Bi 7.374 6.039 7.760
O 3.432 2.784 1.667
Pb 2.655 10.496 5.162
O 5.055 11.744 6.010
Pb 7.403 10.483 2.635
V 8.751 8.926 5.788
```

Computed properties:
Energy: -257.2 eV/cell
Total magnetic moment: 0.0000 μB per atom

=====

Density functional theory data (PBE+U) for a relaxed structure of VBi2PbO6.

Structure (extended XYZ):
```
10
Lattice="6.004 -0.133 -0.108 2.887 4.978 -0.056 2.871 1.613 5.097" Properties=species:S:1:pos:R:3 pbc="T T T"
Bi 5.763 3.251 2.088
O 2.294 3.071 1.032
O 6.649 4.630 3.910
O 4.788 5.183 1.033
V 2.977 1.624 0.177
Pb 8.767 4.892 2.975
O 4.712 1.375 1.169
O 6.631 1.969 3.890
Bi 2.934 1.605 4.822
O 4.322 3.206 3.810
```

Computed properties:
Energy: -62.4 eV/cell
Total magnetic moment: 0.0998 μB per atom

=====

Density functional theory data (PBE+U) for a relaxed structure of BiPb2WO6.

Structure (extended XYZ):
```
20
Lattice="6.220 0.000 -0.190 0.000 5.990 0.000 -0.221 0.000 8.383" Properties=species:S:1:pos:R:3 pbc="T T T"
O 1.580 4.558 3.593
Pb 0.201 5.986 2.032
O 4.419 1.432 4.599
O 5.643 2.999 1.659
O 4.572 1.570 7.691
O 2.423 5.987 5.945
O 3.576 0.004 2.248
Bi 3.110 0.000 -0.095
O 4.426 4.565 4.598
W 2.999 0.000 4.096
Pb 2.798 2.991 2.064
O 1.427 4.420 0.502
O 0.356 2.991 6.534
O 4.580 4.427 7.690
O 1.419 1.563 0.503
W 0.000 2.995 0.000
O 1.573 1.425 3.594
Pb 3.201 3.000 6.129
Pb 5.798 0.005 6.160
Bi -0.110 2.995 4.191
```

Computed properties:
Energy: -125.7 eV/cell
Total magnetic moment: 0.1000 μB per atom

=====

Density functional theory data (PBE+U) for a relaxed structure of Bi2PbWO6.

Structure (extended XYZ):
```
10
Lattice="-5.105 -2.852 2.678 6.311 -2.237 0.648 1.417 5.154 1.967" Properties=species:S:1:pos:R:3 pbc="T T T"
Bi 0.614 1.779 2.652
Bi 1.960 -1.888 2.542
O 5.748 -0.375 1.184
Pb -1.265 -1.480 3.935
O -1.039 -0.871 1.379
O 1.022 -0.327 3.922
O 3.613 0.763 3.815
W 2.598 -0.022 5.243
O -3.175 0.267 4.009
O 1.552 0.218 1.271
```

Computed properties:
Energy: -61.6 eV/cell
Total magnetic moment: 0.1006 μB per atom